Here is a relaxed structure of Ce2ThAl from Alexandria. Energies are from GGA-PBE.

Cell: 3.5028 3.5028 8.7550 Å, 90.00 90.00 90.00°
Fractional positions:
Ce 0.0000 0.0000 0.2248
Ce 0.0000 0.0000 0.7752
Th 0.5000 0.5000 0.5000
Al 0.5000 0.5000 0.0000

Properties
Crystal system: tetragonal
Calculated volume (Å³ per atom): 26.9

Here is a relaxed structure of Ce5ThAl2 from Alexandria. Energies are from GGA-PBE.

Cell: 8.0812 8.0812 8.7627 Å, 117.46 117.46 90.00°
Fractional positions:
Al 0.8854 0.6146 0.0000
Al 0.1146 0.3854 0.0000
Al 0.6146 0.1146 0.0000
Al 0.3854 0.8854 0.0000
Ce 0.0285 0.5285 0.6925
Ce 0.9715 0.4715 0.3075
Ce 0.3359 0.8359 0.3075
Ce 0.4715 0.3359 0.3075
Ce 0.8359 0.9715 0.3075
Ce 0.5000 0.5000 0.0000
Ce 0.1641 0.0285 0.6925
Ce 0.6641 0.1641 0.6925
Ce 0.0000 0.0000 0.0000
Ce 0.5285 0.6641 0.6925
Th 0.7500 0.7500 0.5000
Th 0.2500 0.2500 0.5000

Properties
Crystal system: tetragonal
Calculated volume (Å³ per atom): 27.1

Here is a relaxed structure of CeThAl from Alexandria. Energies are from GGA-PBE.

Cell: 3.1159 5.2456 5.2456 Å, 120.00 90.00 90.00°
Fractional positions:
Th 0.1667 0.3333 0.6667
Ce 0.1665 0.0000 0.0000
Al 0.6667 0.6667 0.3333

Properties
Crystal system: hexagonal
Calculated volume (Å³ per atom): 24.8

Here is a relaxed structure of CeThAl2 from Alexandria. Energies are from GGA-PBE.

Cell: 3.6920 3.6920 7.4402 Å, 90.00 90.00 90.00°
Fractional positions:
Al 0.0000 0.0000 0.7549
Al 0.0000 0.0000 0.2451
Th 0.5000 0.5000 0.5000
Ce 0.5000 0.5000 0.0000

Properties
Crystal system: tetragonal
Calculated volume (Å³ per atom): 25.4

Here is a relaxed structure of CeTh2Al from Alexandria. Energies are from GGA-PBE.

Cell: 5.3606 5.3606 5.3606 Å, 60.00 60.00 60.00°
Fractional positions:
Ce 0.0000 0.0000 0.0000
Th 0.2500 0.2500 0.2500
Th 0.7500 0.7500 0.7500
Al 0.5000 0.5000 0.5000

Properties
Crystal system: cubic
Calculated volume (Å³ per atom): 27.2

Here is a relaxed structure of Ce2ThAl9 from Alexandria. Energies are from GGA-PBE.

Cell: 5.6170 5.6170 9.4404 Å, 72.69 72.69 60.00°
Fractional positions:
Al 0.5000 0.5000 0.5000
Al 0.3349 0.3349 0.9952
Al 0.4144 0.4144 0.2474
Al 0.9239 0.4144 0.2474
Al 0.0761 0.5856 0.7526
Al 0.4144 0.9239 0.2474
Al 0.5856 0.5856 0.7526
Al 0.6651 0.6651 0.0048
Al 0.5856 0.0761 0.7526
Ce 0.1423 0.1423 0.5732
Ce 0.8577 0.8577 0.4268
Th 0.0000 0.0000 0.0000

Properties
Crystal system: trigonal
Calculated volume (Å³ per atom): 20.2

Here is a relaxed structure of CeTh2Al2 from Alexandria. Energies are from GGA-PBE.

Cell: 5.4799 5.8545 9.0166 Å, 108.94 90.00 90.00°
Fractional positions:
Th 0.7500 0.7983 0.5966
Th 0.2500 0.2017 0.4034
Th 0.2500 0.5794 0.1588
Th 0.7500 0.4206 0.8412
Ce 0.0000 0.0000 0.0000
Ce 0.5000 0.0000 0.0000
Al 0.2500 0.1145 0.7239
Al 0.7500 0.3906 0.2761
Al 0.2500 0.6094 0.7239
Al 0.7500 0.8855 0.2761

Properties
Crystal system: orthorhombic
Calculated volume (Å³ per atom): 27.4

Here is a relaxed structure of CeThAl from Alexandria. Energies are from GGA-PBE.

Cell: 4.0011 4.0011 5.7281 Å, 110.44 110.44 90.00°
Fractional positions:
Ce 0.9660 0.9660 0.9321
Th 0.2679 0.2679 0.5357
Al 0.6161 0.6161 0.2322

Properties
Crystal system: tetragonal
Calculated volume (Å³ per atom): 26.6

no.,energy of formation (eV per formula unit),total magnetization (μB per formula unit)
1,-0.5,0.0
2,0.0,1.3
3,0.0,0.0
4,-0.8,1.2
5,0.1,0.0
6,-4.3,2.0
7,0.0,0.0
8,-0.4,0.0